VASP calculation (GGA-PBE) on crystalline TbDyBeGa at its relaxed geometry.

Computed properties:
Crystal system: cubic
Formation energy: -0.24 eV/atom
Total magnetization: 0.00 μB per atom
DOS at the Fermi energy: 3.32 states/eV per cell
Symmetry: F-43m

```
4
Lattice="0.000 3.504 3.504 3.504 0.000 3.504 3.504 3.504 0.000" Properties=species:S:1:pos:R:3 pbc="T T T"
Tb 0.000 0.000 0.000
Dy 3.504 3.504 3.504
Be 5.257 5.257 5.257
Ga 1.752 1.752 1.752
```